{"formula": "ScSnAuS3", "functional": "PBE", "state": "relaxed", "vol_a3_per_atom": 22.849, "dft_energy_ev_per_atom": -5.27, "magmom_total_mub_per_cell": 0.013, "lattice_angstrom": [[1.925, -7.081, 0.000], [1.925, 7.081, 0.000], [0.000, 0.000, 10.058]], "species": ["Sc", "Sc", "Sn", "Sn", "Au", "Au", "S", "S", "S", "S", "S", "S"], "frac_coords": [[0.000, 0.000, 0.000], [0.000, 0.000, 0.500], [0.315, 0.685, 0.750], [0.685, 0.315, 0.250], [0.345, 0.655, 0.250], [0.655, 0.345, 0.750], [0.052, 0.948, 0.250], [0.376, 0.624, 0.021], [0.376, 0.624, 0.479], [0.624, 0.376, 0.521], [0.624, 0.376, 0.979], [0.948, 0.052, 0.750]]}



{"formula": "ScSnAuS3", "functional": "PBE", "state": "relaxed", "vol_a3_per_atom": 22.706, "dft_energy_ev_per_atom": -5.28, "magmom_total_mub_per_cell": 0.009, "lattice_angstrom": [[9.852, 0.000, 0.000], [0.000, 3.838, 0.000], [0.000, 0.000, 14.412]], "species": ["Sc", "Sc", "Sc", "Sc", "Sn", "Sn", "Sn", "Sn", "Au", "Au", "Au", "Au", "S", "S", "S", "S", "S", "S", "S", "S", "S", "S", "S", "S"], "frac_coords": [[0.155, 0.250, 0.040], [0.345, 0.750, 0.540], [0.655, 0.250, 0.460], [0.845, 0.750, 0.960], [0.029, 0.250, 0.701], [0.471, 0.750, 0.201], [0.529, 0.250, 0.799], [0.971, 0.750, 0.299], [0.190, 0.250, 0.354], [0.310, 0.750, 0.854], [0.690, 0.250, 0.146], [0.810, 0.750, 0.646], [0.003, 0.250, 0.894], [0.172, 0.250, 0.514], [0.219, 0.750, 0.705], [0.281, 0.250, 0.205], [0.328, 0.750, 0.014], [0.497, 0.750, 0.394], [0.503, 0.250, 0.606], [0.672, 0.250, 0.986], [0.719, 0.750, 0.795], [0.781, 0.250, 0.295], [0.828, 0.750, 0.486], [0.997, 0.750, 0.106]]}



{"formula": "ScSnTeAuS2", "functional": "PBE", "state": "relaxed", "vol_a3_per_atom": 25.891, "dft_energy_ev_per_atom": -4.90, "magmom_total_mub_per_cell": 0.006, "lattice_angstrom": [[1.988, -7.265, 0.000], [1.988, 7.265, 0.000], [0.000, 0.000, 10.757]], "species": ["Sc", "Sc", "Sn", "Sn", "Te", "Te", "Au", "Au", "S", "S", "S", "S"], "frac_coords": [[0.000, 0.000, 0.000], [0.000, 0.000, 0.500], [0.289, 0.711, 0.750], [0.711, 0.289, 0.250], [0.062, 0.938, 0.250], [0.938, 0.062, 0.750], [0.363, 0.637, 0.250], [0.637, 0.363, 0.750], [0.381, 0.619, 0.029], [0.381, 0.619, 0.471], [0.619, 0.381, 0.529], [0.619, 0.381, 0.971]]}



{"formula": "SrScTeAuS2", "functional": "PBE", "state": "relaxed", "vol_a3_per_atom": 25.408, "dft_energy_ev_per_atom": -5.05, "magmom_total_mub_per_cell": 0.004, "lattice_angstrom": [[1.982, -7.194, 0.000], [1.982, 7.194, 0.000], [0.000, 0.000, 10.691]], "species": ["Sr", "Sr", "Sc", "Sc", "Te", "Te", "Au", "Au", "S", "S", "S", "S"], "frac_coords": [[0.207, 0.793, 0.750], [0.793, 0.207, 0.250], [0.000, 0.000, 0.000], [0.000, 0.000, 0.500], [0.109, 0.891, 0.250], [0.891, 0.109, 0.750], [0.474, 0.526, 0.250], [0.526, 0.474, 0.750], [0.381, 0.619, 0.056], [0.381, 0.619, 0.444], [0.619, 0.381, 0.556], [0.619, 0.381, 0.944]]}



{"formula": "AuSeS6", "functional": "PBE", "state": "relaxed", "vol_a3_per_atom": 21.055, "dft_energy_ev_per_atom": -2.95, "lattice_angstrom": [[0.000, 4.383, 4.383], [4.383, 0.000, 4.383], [4.383, 4.383, 0.000]], "species": ["Au", "Se", "S", "S", "S", "S", "S", "S"], "frac_coords": [[0.000, 0.000, 0.000], [0.750, 0.750, 0.750], [0.037, 0.037, 0.463], [0.037, 0.463, 0.037], [0.037, 0.463, 0.463], [0.463, 0.037, 0.037], [0.463, 0.037, 0.463], [0.463, 0.463, 0.037]]}



{"formula": "Au2SeS", "functional": "PBE", "state": "relaxed", "vol_a3_per_atom": 26.884, "dft_energy_ev_per_atom": -3.62, "lattice_angstrom": [[4.699, -1.824, 0.000], [4.699, 1.824, 0.000], [-1.370, 0.000, 6.274]], "species": ["Au", "Au", "Se", "S"], "frac_coords": [[0.000, 0.000, 0.000], [0.501, 0.501, 0.513], [0.866, 0.866, 0.285], [0.124, 0.124, 0.724]]}